{"formula": "NiSnTe2N", "functional": "PBE-GGA", "state": "relaxed", "lattice_angstrom": [[-4.3442, -3.4891, 1.6324], [2.9026, -4.5825, -2.0701], [1.6854, -0.4877, 3.4428]], "species": ["Te", "Te", "Ni", "Sn", "N"], "frac_coords": [[0.5000, 0.0000, 0.0000], [0.0000, 0.5000, 0.0000], [0.5000, 0.5000, 0.5000], [0.0000, 0.0000, 0.0000], [0.0000, 0.0000, 0.5000]], "raw_formation_energy_ev_per_atom": 1.200, "relative_energy_mev_per_atom": 854.1}

=====

{"formula": "NiSnTe2N", "functional": "PBE-GGA", "state": "relaxed", "lattice_angstrom": [[-1.5851, 2.9839, 4.4183], [-3.7100, -3.9277, 1.3216], [2.3991, -1.6106, 1.9484]], "species": ["Te", "Te", "Sn", "N", "Ni"], "frac_coords": [[0.0000, 0.5000, 0.0000], [0.5000, 0.0000, 0.0000], [0.5000, 0.5000, 0.5000], [0.0000, 0.0000, 0.5000], [0.0000, 0.0000, 0.0000]], "raw_formation_energy_ev_per_atom": 0.346, "relative_energy_mev_per_atom": 0.0}

=====

{"formula": "TiNiSnN2", "functional": "PBE-GGA", "state": "relaxed", "lattice_angstrom": [[-2.3057, 1.6638, -2.5522], [2.0546, -2.4630, -3.4618], [-2.5524, -2.8024, 0.4790]], "species": ["N", "N", "Ni", "Ti", "Sn"], "frac_coords": [[0.5000, 0.0000, 0.0000], [0.0000, 0.0000, 0.5000], [0.0000, 0.0000, 0.0000], [0.0000, 0.5000, 0.0000], [0.5000, 0.5000, 0.5000]], "raw_formation_energy_ev_per_atom": 1.028}

=====

{"formula": "NiSnWN2", "functional": "PBE-GGA", "state": "relaxed", "lattice_angstrom": [[-2.3322, -2.9012, 1.2825], [2.0435, 0.6420, 5.1685], [-2.8273, 2.6230, 0.7920]], "species": ["Ni", "N", "N", "Sn", "W"], "frac_coords": [[0.5000, 0.5000, 0.5000], [0.0000, 0.0000, 0.5000], [0.5000, 0.0000, 0.0000], [0.0000, 0.0000, 0.0000], [0.0000, 0.5000, 0.0000]], "raw_formation_energy_ev_per_atom": 2.470}